Record 1
{
  "formula": "Pm3I7Br",
  "functional": "GGA-PBE",
  "state": "relaxed",
  "total_energy_ev_per_cell": -42.22,
  "lattice": [[8.822, 0.000, 0.000], [-4.411, 7.640, 0.000], [0.000, 0.000, 7.662]],
  "species": ["Pm", "Pm", "Pm", "I", "I", "I", "I", "I", "I", "I", "Br"],
  "fractional_positions": [[0.168, 0.336, 0.000], [0.168, 0.832, 0.000], [0.664, 0.832, 0.000], [0.000, 0.000, 0.753], [0.003, 0.501, 0.763], [0.330, 0.165, 0.236], [0.499, 0.501, 0.763], [0.499, 0.997, 0.763], [0.835, 0.165, 0.236], [0.835, 0.670, 0.236], [0.333, 0.667, 0.211]]
}



Record 2
{
  "formula": "Pm2IBr5",
  "functional": "GGA-PBE",
  "state": "relaxed",
  "total_energy_ev_per_cell": -64.66,
  "lattice": [[4.916, 0.000, 0.000], [0.000, 8.861, 0.000], [0.000, 0.000, 11.694]],
  "species": ["Pm", "Pm", "Pm", "Pm", "I", "I", "Br", "Br", "Br", "Br", "Br", "Br", "Br", "Br", "Br", "Br"],
  "fractional_positions": [[0.000, 0.000, 0.242], [0.000, 0.000, 0.758], [0.500, 0.500, 0.258], [0.500, 0.500, 0.742], [0.000, 0.500, 0.000], [0.500, 0.000, 0.500], [0.000, 0.000, 0.000], [0.000, 0.312, 0.336], [0.000, 0.312, 0.664], [0.000, 0.688, 0.336], [0.000, 0.688, 0.664], [0.500, 0.188, 0.164], [0.500, 0.188, 0.836], [0.500, 0.500, 0.500], [0.500, 0.812, 0.164], [0.500, 0.812, 0.836]]
}



Record 3
{
  "formula": "PmI3Br",
  "functional": "GGA-PBE",
  "state": "relaxed",
  "total_energy_ev_per_cell": -33.25,
  "lattice": [[-6.593, 3.704, 4.522], [6.593, -3.704, 4.522], [6.593, 3.704, -4.522]],
  "species": ["Pm", "Pm", "I", "I", "I", "I", "I", "I", "Br", "Br"],
  "fractional_positions": [[0.218, 0.250, 0.468], [0.782, 0.750, 0.532], [0.226, 0.010, 0.237], [0.226, 0.489, 0.715], [0.693, 0.976, 0.217], [0.758, 0.476, 0.783], [0.773, 0.510, 0.285], [0.773, 0.989, 0.763], [0.258, 0.020, 0.738], [0.281, 0.520, 0.262]]
}



Record 4
{
  "formula": "PmIBr",
  "functional": "GGA-PBE",
  "state": "relaxed",
  "total_energy_ev_per_cell": -24.74,
  "e_above_lowest_polymorph_mev_per_atom": 0,
  "lattice": [[4.116, 0.000, 0.000], [0.004, 7.078, 0.000], [1.964, 2.933, 8.024]],
  "species": ["Pm", "Pm", "I", "I", "Br", "Br"],
  "fractional_positions": [[0.250, 0.246, 0.499], [0.750, 0.754, 0.501], [0.124, 0.806, 0.763], [0.876, 0.194, 0.237], [0.356, 0.675, 0.278], [0.644, 0.325, 0.722]]
}